[1]
# Ca2ZnIn PBE optimized geometry
data_Ca2ZnIn
_symmetry_space_group_name_H-M 'F -4 3 m'
_symmetry_Int_Tables_number 216
_symmetry_space_group_name_Hall 'F -4 2 3'
_cell_length_a 7.4842
_cell_length_b 7.4842
_cell_length_c 7.4842
_cell_angle_alpha 90.00
_cell_angle_beta 90.00
_cell_angle_gamma 90.00
loop_
_atom_site_label
_atom_site_fract_x
_atom_site_fract_y
_atom_site_fract_z
Ca1 0.0000 0.0000 0.0000
Ca2 0.2500 0.2500 0.2500
Zn1 0.2500 0.2500 0.7500
In1 0.0000 0.0000 0.5000
# energy of formation: -0.131 eV per atom
# DFT total energy: -34.2 eV per cell
# density of states at the Fermi level: 0.35 states/eV/atom
# M_tot: 0.000 μB/atom


[2]
# LiAlC PBE optimized geometry
data_LiAlC
_symmetry_space_group_name_H-M 'C 1 2/m 1'
_symmetry_Int_Tables_number 12
_cell_length_a 9.1066
_cell_length_b 3.2840
_cell_length_c 5.8441
_cell_angle_alpha 90.00
_cell_angle_beta 100.91
_cell_angle_gamma 90.00
loop_
_symmetry_equiv_pos_as_xyz
'x,y,z'
'-x,-y,-z'
'-x,y,-z'
'x,-y,z'
'x+1/2,y+1/2,z'
'-x+1/2,-y+1/2,-z'
'-x+1/2,y+1/2,-z'
'x+1/2,-y+1/2,z'
loop_
_atom_site_label
_atom_site_fract_x
_atom_site_fract_y
_atom_site_fract_z
Li1 0.1109 0.0000 0.3540
Al1 0.1342 0.5000 0.9285
C1 0.0491 0.5000 0.5956
# energy of formation: 0.143 eV per atom
# DFT total energy: -57.8 eV per cell
# density of states at the Fermi level: 0.21 states/eV/atom
# M_tot: 0.000 μB/atom


[3]
# Pr8Nd5Th PBE optimized geometry
data_Pr8Nd5Th
_symmetry_space_group_name_H-M 'P 1'
_symmetry_Int_Tables_number 1
_cell_length_a 7.3846
_cell_length_b 8.2787
_cell_length_c 9.7718
_cell_angle_alpha 104.72
_cell_angle_beta 112.12
_cell_angle_gamma 102.94
loop_
_symmetry_equiv_pos_as_xyz
'x,y,z'
loop_
_atom_site_label
_atom_site_fract_x
_atom_site_fract_y
_atom_site_fract_z
Pr1 0.0000 0.0000 0.0000
Pr2 0.0718 0.5643 0.8613
Pr3 0.2128 0.7021 0.5667
Pr4 0.3542 0.8459 0.2851
Pr5 0.4307 0.4217 0.1424
Pr6 0.5077 0.9988 0.9999
Pr7 0.6484 0.1416 0.7174
Pr8 0.8612 0.8441 0.2844
Nd1 0.1443 0.1364 0.7121
Nd2 0.2816 0.2812 0.4238
Nd3 0.5795 0.5623 0.8607
Nd4 0.7165 0.7069 0.5718
Nd5 0.7896 0.2796 0.4229
Th1 0.9306 0.4218 0.1426
# energy of formation: 0.025 eV per atom
# DFT total energy: -69.1 eV per cell
# density of states at the Fermi level: 1.55 states/eV/atom
# M_tot: 0.000 μB/atom


[4]
# Hf2ZnOs PBE optimized geometry
data_Hf2ZnOs
_symmetry_space_group_name_H-M 'I 4/m m m'
_symmetry_Int_Tables_number 139
_symmetry_space_group_name_Hall '-I 4 2'
_cell_length_a 3.4466
_cell_length_b 3.4466
_cell_length_c 14.1230
_cell_angle_alpha 90.00
_cell_angle_beta 90.00
_cell_angle_gamma 90.00
loop_
_atom_site_label
_atom_site_fract_x
_atom_site_fract_y
_atom_site_fract_z
Hf1 0.0000 0.0000 0.1794
Zn1 0.0000 0.0000 0.5000
Os1 0.0000 0.0000 0.0000
# energy of formation: 0.384 eV per atom
# DFT total energy: -61.7 eV per cell
# density of states at the Fermi level: 0.76 states/eV/atom
# M_tot: 0.000 μB/atom


[5]
# MgBe2Cd PBE optimized geometry
data_MgBe2Cd
_symmetry_space_group_name_H-M 'I -4 2 d'
_symmetry_Int_Tables_number 122
_symmetry_space_group_name_Hall 'I -4 2bw'
_cell_length_a 7.1774
_cell_length_b 7.1774
_cell_length_c 5.2397
_cell_angle_alpha 90.00
_cell_angle_beta 90.00
_cell_angle_gamma 90.00
loop_
_atom_site_label
_atom_site_fract_x
_atom_site_fract_y
_atom_site_fract_z
Mg1 0.0000 0.0000 0.0000
Be1 0.2289 0.2500 0.6250
Cd1 0.0000 0.0000 0.5000
# energy of formation: 0.733 eV per atom
# DFT total energy: -28.1 eV per cell
# density of states at the Fermi level: 0.44 states/eV/atom
# M_tot: 0.000 μB/atom


[6]
# Hf6Pt3Rh PBE optimized geometry
data_Hf6Pt3Rh
_symmetry_space_group_name_H-M 'P 1 21/c 1'
_symmetry_Int_Tables_number 14
_cell_length_a 7.2979
_cell_length_b 6.5238
_cell_length_c 11.0152
_cell_angle_alpha 90.00
_cell_angle_beta 128.74
_cell_angle_gamma 90.00
loop_
_symmetry_equiv_pos_as_xyz
'x,y,z'
'-x,-y,-z'
'-x,y+1/2,-z+1/2'
'x,-y+1/2,z+1/2'
loop_
_atom_site_label
_atom_site_fract_x
_atom_site_fract_y
_atom_site_fract_z
Hf1 0.0050 0.1029 0.2496
Hf2 0.2262 0.1416 0.0611
Hf3 0.3892 0.6635 0.0719
Pt1 0.0000 0.0000 0.5000
Pt2 0.3315 0.6586 0.7833
Rh1 0.5000 0.0000 0.0000
# energy of formation: -0.622 eV per atom
# DFT total energy: -182.8 eV per cell
# density of states at the Fermi level: 0.87 states/eV/atom
# M_tot: 0.000 μB/atom